(1)
Here is a geometry-optimized KSbTe2Au structure from Alexandria via LeMat-Bulk. Energies are from PBE-GGA.

Values from the calculation:
Volume ... 35.0 Å³ per atom
D(E_F) ... 3.42 states/eV per cell
Energy relative to the elements, uncorrected ... -0.024 eV per atom

Cell lengths 5.751, 5.751, 5.285 Å; angles 90.00, 90.00, 90.00 degrees
Sites, in units of the cell vectors:
Te: 0.000 0.500 0.000
Sb: 0.000 0.000 0.500
Te: 0.500 0.000 0.000
K: 0.500 0.500 0.500
Au: 0.000 0.000 0.000



(2)
Here is a geometry-optimized Sr3Hg4Bi4 structure from Alexandria via LeMat-Bulk. Energies are from PBE-GGA.

Values from the calculation:
Volume ... 33.0 Å³ per atom
D(E_F) ... 4.44 states/eV per cell
Energy of formation from the pure elements ... -0.452 eV per atom

Cell lengths 4.938, 8.550, 9.905 Å; angles 115.57, 104.44, 90.00 degrees
Sites, in units of the cell vectors:
Sr: 0.000 0.500 0.000
Sr: 0.868 0.868 0.735
Hg: 0.326 0.111 0.653
Bi: 0.208 0.708 0.417
Hg: 0.326 0.542 0.653
Hg: 0.674 0.458 0.347
Bi: 0.792 0.292 0.583
Bi: 0.500 0.815 0.000
Sr: 0.132 0.132 0.265
Bi: 0.500 0.185 0.000
Hg: 0.674 0.889 0.347



(3)
Here is a geometry-optimized Sc2Pt2Pb structure from Alexandria via LeMat-Bulk. Energies are from PBE-GGA.

Values from the calculation:
Volume ... 22.2 Å³ per atom
D(E_F) ... 2.65 states/eV per cell
Energy of formation from the pure elements ... -0.829 eV per atom

Cell lengths 4.535, 4.535, 6.287 Å; angles 68.86, 68.86, 90.00 degrees
Sites, in units of the cell vectors:
Pt: 0.380 0.380 0.240
Pt: 0.620 0.620 0.760
Sc: 0.250 0.750 0.500
Sc: 0.750 0.250 0.500
Pb: 0.000 0.000 0.000



(4)
Here is a geometry-optimized ZrTi3Zn8 structure from Alexandria via LeMat-Bulk. Energies are from PBE-GGA.

Values from the calculation:
Volume ... 15.6 Å³ per atom
D(E_F) ... 6.72 states/eV per cell
Energy of formation from the pure elements ... -0.211 eV per atom

Cell lengths 5.126, 5.126, 8.242 Å; angles 90.00, 90.00, 120.00 degrees
Site moments in Bohr magnetons follow the coordinates.
Sites, in units of the cell vectors:
Zn: 0.990 0.495 0.754  0.01
Zn: 0.676 0.838 0.247  0.00
Ti: 0.000 0.000 0.936  1.01
Zn: 0.505 0.010 0.754  0.01
Zn: 0.333 0.667 0.500  0.00
Zn: 0.333 0.667 0.001  0.00
Zr: 0.000 0.000 0.566  0.46
Zn: 0.162 0.838 0.247  0.00
Zn: 0.162 0.324 0.247  0.00
Ti: 0.667 0.333 0.067  0.94
Zn: 0.505 0.495 0.754  0.01
Ti: 0.667 0.333 0.427  1.08



(5)
Here is a geometry-optimized CuNiRh2 structure from Alexandria via LeMat-Bulk. Energies are from PBE-GGA.

Values from the calculation:
Volume ... 13.2 Å³ per atom
D(E_F) ... 6.23 states/eV per cell
Energy of formation from the pure elements ... 0.209 eV per atom

Cell lengths 4.210, 4.210, 4.210 Å; angles 60.00, 60.00, 60.00 degrees
Sites, in units of the cell vectors:
Rh: 0.000 0.000 0.000
Rh: 0.250 0.250 0.250
Ni: 0.750 0.750 0.750
Cu: 0.500 0.500 0.500



(6)
Here is a geometry-optimized Pm2PrHo7 structure from Alexandria via LeMat-Bulk. Energies are from PBE-GGA.

Values from the calculation:
Volume ... 32.0 Å³ per atom
D(E_F) ... 12.50 states/eV per cell
Energy of formation from the pure elements ... 0.018 eV per atom

Cell lengths 7.948, 9.435, 10.682 Å; angles 133.77, 144.94, 47.46 degrees
Sites, in units of the cell vectors:
Ho: 0.900 0.301 0.402
Ho: 0.300 0.101 0.801
Ho: 0.201 0.402 0.201
Pm: 0.602 0.202 0.601
Ho: 0.700 0.899 0.199
Pr: 0.000 0.000 0.000
Pm: 0.398 0.798 0.399
Ho: 0.500 0.500 0.000
Ho: 0.799 0.598 0.799
Ho: 0.100 0.699 0.598



| no. | mass density (g/cm³) | magnetization (μB per formula unit) | energy (eV/atom) |
| --- | --- | --- | --- |
| 1 | 5.8 | 0.000 | -2.98 |
| 2 | 8.7 | 0.000 | -2.43 |
| 3 | 10.3 | 0.000 | -6.52 |
| 4 | 6.7 | 4.684 | -3.75 |
| 5 | 10.3 | 0.001 | -5.94 |
| 6 | 8.2 | 0.000 | -4.61 |